Computed, not measured: crystalline PrFeAs2 at its relaxed geometry at the PBE level of DFT.

Geometry as CIF:
```
data_PrFeAs2
_space_group_name_H-M_alt 'P 1'
_space_group_IT_number 1
_space_group_name_Hall 'P 1'
_cell_length_a 4.359
_cell_length_b 4.359
_cell_length_c 8.258
_cell_angle_alpha 74.70
_cell_angle_beta 74.70
_cell_angle_gamma 60.00
loop_
_atom_site_label
_atom_site_type_symbol
_atom_site_fract_x
_atom_site_fract_y
_atom_site_fract_z
Fe1 Fe 0.000 0.000 0.000
Pr1 Pr 0.500 0.500 0.500
As1 As 0.097 0.097 0.709
As2 As 0.903 0.903 0.291
```

Results
crystal system	trigonal
space-group type	R-3m (166)
DOS(E_F)	5.63	states/eV per cell
M_tot	3.96	μB per formula unit
energy of formation from the pure elements	111	meV per atom


Computed, not measured: crystalline SmHoSc5 at its relaxed geometry at the PBE level of DFT.

Geometry as CIF:
```
data_SmHoSc5
_space_group_name_H-M_alt 'P 1'
_space_group_IT_number 1
_space_group_name_Hall 'P 1'
_cell_length_a 5.131
_cell_length_b 5.131
_cell_length_c 7.565
_cell_angle_alpha 90.00
_cell_angle_beta 90.00
_cell_angle_gamma 90.00
loop_
_atom_site_label
_atom_site_type_symbol
_atom_site_fract_x
_atom_site_fract_y
_atom_site_fract_z
Sc1 Sc 0.000 0.500 0.775
Sc2 Sc 0.500 0.000 0.775
Sc3 Sc 0.500 0.000 0.225
Sc4 Sc 0.500 0.500 0.500
Sc5 Sc 0.000 0.500 0.225
Sm1 Sm 0.000 0.000 0.500
Ho1 Ho 0.500 0.500 0.000
```

Results
crystal system	tetragonal
space-group type	P4/mmm (123)
DOS(E_F)	11.94	states/eV per cell
M_tot	0.01	μB per formula unit
energy of formation from the pure elements	368	meV per atom


Computed, not measured: crystalline AcNd2DyY5 at its relaxed geometry at the PBE level of DFT.

Geometry as CIF:
```
data_AcNd2DyY5
_space_group_name_H-M_alt 'P 1'
_space_group_IT_number 1
_space_group_name_Hall 'P 1'
_cell_length_a 8.800
_cell_length_b 8.800
_cell_length_c 10.110
_cell_angle_alpha 115.80
_cell_angle_beta 115.80
_cell_angle_gamma 90.00
loop_
_atom_site_label
_atom_site_type_symbol
_atom_site_fract_x
_atom_site_fract_y
_atom_site_fract_z
Y1 Y 0.500 0.500 0.000
Y2 Y 0.078 0.578 0.731
Y3 Y 0.654 0.154 0.731
Y4 Y 0.154 0.078 0.731
Y5 Y 0.422 0.346 0.269
Y6 Y 0.578 0.654 0.731
Y7 Y 0.846 0.922 0.269
Y8 Y 0.346 0.846 0.269
Y9 Y 0.000 0.000 0.000
Y10 Y 0.922 0.422 0.269
Dy1 Dy 0.750 0.750 0.500
Dy2 Dy 0.250 0.250 0.500
Ac1 Ac 0.750 0.250 0.500
Ac2 Ac 0.250 0.750 0.500
Nd1 Nd 0.884 0.616 0.000
Nd2 Nd 0.116 0.384 0.000
Nd3 Nd 0.616 0.116 0.000
Nd4 Nd 0.384 0.884 0.000
```

Results
crystal system	tetragonal
space-group type	I4/mcm (140)
DOS(E_F)	19.96	states/eV per cell
M_tot	0.00	μB per formula unit
energy of formation from the pure elements	262	meV per atom


Computed, not measured: crystalline Ac2Pm2Sm at its relaxed geometry at the PBE level of DFT.

Geometry as CIF:
```
data_Ac2Pm2Sm
_space_group_name_H-M_alt 'P 1'
_space_group_IT_number 1
_space_group_name_Hall 'P 1'
_cell_length_a 4.967
_cell_length_b 4.967
_cell_length_c 9.042
_cell_angle_alpha 105.94
_cell_angle_beta 105.94
_cell_angle_gamma 90.00
loop_
_atom_site_label
_atom_site_type_symbol
_atom_site_fract_x
_atom_site_fract_y
_atom_site_fract_z
Ac1 Ac 0.750 0.250 0.500
Ac2 Ac 0.250 0.750 0.500
Sm1 Sm 0.000 0.000 0.000
Pm1 Pm 0.591 0.591 0.183
Pm2 Pm 0.409 0.409 0.817
```

Results
crystal system	tetragonal
space-group type	I4/mmm (139)
DOS(E_F)	9.87	states/eV per cell
M_tot	0.00	μB per formula unit
energy of formation from the pure elements	434	meV per atom


Computed, not measured: crystalline CaLa2AlRe at its relaxed geometry at the PBE level of DFT.

Geometry as CIF:
```
data_CaLa2AlRe
_space_group_name_H-M_alt 'P 1'
_space_group_IT_number 1
_space_group_name_Hall 'P 1'
_cell_length_a 5.801
_cell_length_b 4.713
_cell_length_c 5.801
_cell_angle_alpha 90.00
_cell_angle_beta 90.00
_cell_angle_gamma 90.00
loop_
_atom_site_label
_atom_site_type_symbol
_atom_site_fract_x
_atom_site_fract_y
_atom_site_fract_z
Ca1 Ca 0.500 0.500 0.500
La1 La 0.500 0.000 0.000
La2 La 0.000 0.000 0.500
Re1 Re 0.000 0.500 0.000
Al1 Al 0.000 0.000 0.000
```

Results
crystal system	tetragonal
space-group type	P4/mmm (123)
DOS(E_F)	8.34	states/eV per cell
M_tot	0.70	μB per formula unit
energy of formation from the pure elements	597	meV per atom


Computed, not measured: crystalline U2Fe21B6 at its relaxed geometry at the PBE level of DFT.

Geometry as CIF:
```
data_U2Fe21B6
_space_group_name_H-M_alt 'P 1'
_space_group_IT_number 1
_space_group_name_Hall 'P 1'
_cell_length_a 7.575
_cell_length_b 7.575
_cell_length_c 7.575
_cell_angle_alpha 60.00
_cell_angle_beta 60.00
_cell_angle_gamma 60.00
loop_
_atom_site_label
_atom_site_type_symbol
_atom_site_fract_x
_atom_site_fract_y
_atom_site_fract_z
Fe1 Fe 0.337 0.000 0.663
Fe2 Fe 0.663 0.000 0.337
Fe3 Fe 0.000 0.000 0.337
Fe4 Fe 0.620 0.141 0.620
Fe5 Fe 0.620 0.620 0.141
Fe6 Fe 0.380 0.380 0.859
Fe7 Fe 0.380 0.859 0.380
Fe8 Fe 0.000 0.663 0.000
Fe9 Fe 0.663 0.337 0.000
Fe10 Fe 0.000 0.337 0.663
Fe11 Fe 0.141 0.620 0.620
Fe12 Fe 0.337 0.000 0.000
Fe13 Fe 0.859 0.380 0.380
Fe14 Fe 0.620 0.620 0.620
Fe15 Fe 0.000 0.000 0.663
Fe16 Fe 0.000 0.000 0.000
Fe17 Fe 0.000 0.337 0.000
Fe18 Fe 0.337 0.663 0.000
Fe19 Fe 0.380 0.380 0.380
Fe20 Fe 0.663 0.000 0.000
Fe21 Fe 0.000 0.663 0.337
B1 B 0.275 0.725 0.725
B2 B 0.725 0.275 0.275
B3 B 0.725 0.725 0.275
B4 B 0.725 0.275 0.725
B5 B 0.275 0.725 0.275
B6 B 0.275 0.275 0.725
U1 U 0.250 0.250 0.250
U2 U 0.750 0.750 0.750
```

Results
crystal system	cubic
space-group type	Fm-3m (225)
DOS(E_F)	26.54	states/eV per cell
M_tot	36.21	μB per formula unit
energy of formation from the pure elements	-240	meV per atom


Computed, not measured: crystalline Pu7IrPd5 at its relaxed geometry at the PBE level of DFT.

Geometry as CIF:
```
data_Pu7IrPd5
_space_group_name_H-M_alt 'P 1'
_space_group_IT_number 1
_space_group_name_Hall 'P 1'
_cell_length_a 5.557
_cell_length_b 7.749
_cell_length_c 7.749
_cell_angle_alpha 81.91
_cell_angle_beta 68.99
_cell_angle_gamma 68.99
loop_
_atom_site_label
_atom_site_type_symbol
_atom_site_fract_x
_atom_site_fract_y
_atom_site_fract_z
Pu1 Pu 0.217 0.783 0.783
Pu2 Pu 0.007 0.693 0.294
Pu3 Pu 0.670 0.330 0.330
Pu4 Pu 0.512 0.142 0.834
Pu5 Pu 0.007 0.294 0.693
Pu6 Pu 0.312 0.188 0.188
Pu7 Pu 0.512 0.834 0.142
Pd1 Pd 0.003 0.991 0.494
Pd2 Pd 0.782 0.718 0.718
Pd3 Pd 0.003 0.494 0.991
Pd4 Pd 0.512 0.494 0.991
Pd5 Pd 0.512 0.991 0.494
Ir1 Ir 0.952 0.048 0.048
```

Results
crystal system	orthorhombic
space-group type	Imm2 (44)
DOS(E_F)	56.06	states/eV per cell
M_tot	16.28	μB per formula unit
energy of formation from the pure elements	-265	meV per atom


Computed, not measured: crystalline BiSbMo2 at its relaxed geometry at the PBE level of DFT.

Geometry as CIF:
```
data_BiSbMo2
_space_group_name_H-M_alt 'P 1'
_space_group_IT_number 1
_space_group_name_Hall 'P 1'
_cell_length_a 6.322
_cell_length_b 6.322
_cell_length_c 7.677
_cell_angle_alpha 65.68
_cell_angle_beta 65.68
_cell_angle_gamma 90.00
loop_
_atom_site_label
_atom_site_type_symbol
_atom_site_fract_x
_atom_site_fract_y
_atom_site_fract_z
Mo1 Mo 0.613 0.125 0.250
Mo2 Mo 0.137 0.625 0.250
Mo3 Mo 0.875 0.863 0.750
Mo4 Mo 0.375 0.387 0.750
Bi1 Bi 0.750 0.250 0.500
Bi2 Bi 0.000 0.000 0.000
Sb1 Sb 0.500 0.500 0.000
Sb2 Sb 0.250 0.750 0.500
```

Results
formation energy from raw total energies	1.28	eV/atom
crystal system	tetragonal
space-group type	I-42d (122)
DOS(E_F)	5.84	states/eV per cell
M_tot	4.49	μB per formula unit


Computed, not measured: crystalline SrVPd2Au at its relaxed geometry at the PBE level of DFT.

Geometry as CIF:
```
data_SrVPd2Au
_space_group_name_H-M_alt 'P 1'
_space_group_IT_number 1
_space_group_name_Hall 'P 1'
_cell_length_a 5.163
_cell_length_b 4.776
_cell_length_c 5.163
_cell_angle_alpha 90.00
_cell_angle_beta 90.00
_cell_angle_gamma 90.00
loop_
_atom_site_label
_atom_site_type_symbol
_atom_site_fract_x
_atom_site_fract_y
_atom_site_fract_z
Pd1 Pd 0.500 0.000 0.000
Pd2 Pd 0.000 0.000 0.500
Sr1 Sr 0.500 0.500 0.500
V1 V 0.000 0.500 0.000
Au1 Au 0.000 0.000 0.000
```

Results
crystal system	tetragonal
space-group type	P4/mmm (123)
DOS(E_F)	4.13	states/eV per cell
M_tot	3.39	μB per formula unit
energy of formation from the pure elements	356	meV per atom


Computed, not measured: crystalline SrAlTc at its relaxed geometry at the PBE level of DFT.

Geometry as CIF:
```
data_SrAlTc
_space_group_name_H-M_alt 'P 1'
_space_group_IT_number 1
_space_group_name_Hall 'P 1'
_cell_length_a 6.078
_cell_length_b 6.078
_cell_length_c 6.078
_cell_angle_alpha 146.53
_cell_angle_beta 146.56
_cell_angle_gamma 48.04
loop_
_atom_site_label
_atom_site_type_symbol
_atom_site_fract_x
_atom_site_fract_y
_atom_site_fract_z
Al1 Al 0.941 0.941 0.000
Sr1 Sr 0.671 0.671 0.000
Tc1 Tc 0.388 0.388 0.000
```

Results
crystal system	tetragonal
space-group type	I4mm (107)
DOS(E_F)	2.09	states/eV per cell
M_tot	0.04	μB per formula unit
energy of formation from the pure elements	137	meV per atom